Compound: H2Ir2Os
Source: the Alexandria database
Functional: PBE-GGA
Structure: optimized geometry

Cell: 6.1111 6.1111 2.7906 Å, 90.00 90.00 90.00°
Space group P4/mbm (No. 127)
Unique sites:
H1 0.2180 0.2820 0.0000 (multiplicity 4)
Ir1 0.1501 0.6501 0.5000 (multiplicity 4)
Os1 0.0000 0.0000 0.0000 (multiplicity 2)

Its volume is 104.2 Å³/cell. Its calculated total energy is -6.65 eV per atom. The spin magnetization comes out at 0.0 μB per formula unit. For the density of states at the Fermi level, the calculation gives 4.8 states/eV/f.u.

---

Compound: Tm3CSe
Source: the Alexandria database
Functional: PBE-GGA
Structure: optimized geometry

Cell: 3.6472 7.0633 8.9605 Å, 90.00 101.74 90.00°
Space group P2_1/m (No. 11)
Unique sites:
Tm1 0.0097 0.2500 0.0186 (multiplicity 2)
Tm2 0.3541 0.0355 0.7089 (multiplicity 4)
C1 0.1175 0.7500 0.2345 (multiplicity 2)
Se1 0.2046 0.2500 0.4087 (multiplicity 2)

Its volume is 226.0 Å³/cell. Its calculated total energy is -5.94 eV per atom. As for the formation energy from raw total energies: -0.7188 eV per atom. The spin magnetization comes out at 0.0 μB per formula unit. For the density of states at the Fermi level, the calculation gives 3.1 states/eV/f.u.

---

Compound: BaCo3Sn
Source: the Alexandria database
Functional: PBE-GGA
Structure: optimized geometry

Cell: 4.8938 4.8938 4.8938 Å, 90.00 90.00 90.00°
Space group Pm-3m (No. 221)
Unique sites:
Ba1 0.0000 0.0000 0.0000 (multiplicity 1)
Co1 0.0000 0.0000 0.5000 (multiplicity 3)
Sn1 0.5000 0.5000 0.5000 (multiplicity 1)

Its volume is 117.2 Å³/cell. Its calculated total energy is -3.49 eV per atom. The spin magnetization comes out at 3.2 μB per formula unit. For the density of states at the Fermi level, the calculation gives 5.4 states/eV/f.u.

---

Compound: Pu8Mn5Ir
Source: the Alexandria database
Functional: PBE-GGA
Structure: optimized geometry

Cell: 8.2833 8.2833 8.3559 Å, 90.00 90.00 90.00°
Space group I-4 (No. 82)
Unique sites:
Pu1 0.0701 0.1802 0.1959 (multiplicity 8)
Pu2 0.0702 0.3255 0.5575 (multiplicity 8)
Mn1 0.0000 0.5000 0.2500 (multiplicity 2)
Mn2 0.1271 0.2465 0.8754 (multiplicity 8)
Ir1 0.0000 0.0000 0.5000 (multiplicity 2)

Its volume is 573.3 Å³/cell. Its calculated total energy is -12.01 eV per atom. The spin magnetization comes out at 29.6 μB per formula unit. For the density of states at the Fermi level, the calculation gives 39.9 states/eV/f.u.

---

Compound: Ta2SnHRh
Source: the Alexandria database
Functional: PBE-GGA
Structure: optimized geometry

Cell: 4.0403 4.0403 4.4514 Å, 90.00 90.00 90.00°
Space group P4/mmm (No. 123)
Unique sites:
Ta1 0.0000 0.5000 0.0000 (multiplicity 2)
Sn1 0.0000 0.0000 0.5000 (multiplicity 1)
H1 0.5000 0.5000 0.0000 (multiplicity 1)
Rh1 0.5000 0.5000 0.5000 (multiplicity 1)

Its volume is 72.7 Å³/cell. Its calculated total energy is -7.84 eV per atom. The spin magnetization comes out at 0.0 μB per formula unit. For the density of states at the Fermi level, the calculation gives 2.3 states/eV/f.u.

---

Compound: DyMg6Cu6
Source: the Alexandria database
Functional: PBE-GGA
Structure: optimized geometry

Cell: 5.2412 9.1143 9.2076 Å, 90.00 90.00 90.00°
Space group Immm (No. 71)
Unique sites:
Dy1 0.0000 0.0000 0.0000 (multiplicity 2)
Mg1 0.0000 0.0000 0.3455 (multiplicity 4)
Mg2 0.0000 0.3377 0.0000 (multiplicity 4)
Mg3 0.0000 0.5000 0.3116 (multiplicity 4)
Cu1 0.0000 0.2706 0.5000 (multiplicity 4)
Cu2 0.2500 0.2500 0.2500 (multiplicity 8)

Its volume is 439.8 Å³/cell. Its calculated total energy is -3.10 eV per atom. The spin magnetization comes out at 0.0 μB per formula unit. For the density of states at the Fermi level, the calculation gives 7.2 states/eV/f.u.

---

Compound: CdPd4Pt2
Source: the Alexandria database
Functional: PBE-GGA
Structure: optimized geometry

Cell: 3.9513 4.8652 6.4200 Å, 97.63 90.18 113.90°
Space group P-1 (No. 2)
Unique sites:
Cd1 0.0000 0.0000 0.0000 (multiplicity 1)
Pd1 0.2851 0.5709 0.8541 (multiplicity 2)
Pd2 0.4287 0.8569 0.2912 (multiplicity 2)
Pt1 0.1441 0.2887 0.4325 (multiplicity 2)

Its volume is 111.6 Å³/cell. Its calculated total energy is -4.98 eV per atom. The spin magnetization comes out at 0.0 μB per formula unit. For the density of states at the Fermi level, the calculation gives 10.3 states/eV/f.u.

---

Compound: Rb2CdReBr6
Source: the Alexandria database
Functional: PBE-GGA
Structure: optimized geometry

Cell: 8.0548 8.0548 11.4099 Å, 90.00 90.00 90.00°
Space group I4/mmm (No. 139)
Unique sites:
Rb1 0.0000 0.5000 0.2500 (multiplicity 4)
Cd1 0.0000 0.0000 0.0000 (multiplicity 2)
Re1 0.0000 0.0000 0.5000 (multiplicity 2)
Br1 0.0000 0.0000 0.2754 (multiplicity 4)
Br2 0.2251 0.2251 0.5000 (multiplicity 8)

Its volume is 740.3 Å³/cell. Its calculated total energy is -3.32 eV per atom. As for the formation energy from raw total energies: -0.7845 eV per atom. The spin magnetization comes out at 3.0 μB per formula unit. For the density of states at the Fermi level, the calculation gives 1.5 states/eV/f.u.